Density functional theory data (PBE) for a relaxed structure of AlTlAs2.

Computed properties:
- size of the total moment (μB/atom) = 0.000
- density of states at the Fermi level (states/eV/atom) = 0.325
- formation energy from the elements (eV per atom) = 0.01
- E (eV for the cell shown) = -15.355
- offset from the most stable computed form (meV/atom) = 189.4

a b c (Å): 3.795 4.351 6.235
angles (deg): 67.98 90.00 90.00
Fractional coordinates of all 4 atoms:
As (0.000, 0.507, 0.574)
Tl (0.500, 0.250, 0.250)
Al (0.500, 0.750, 0.750)
As (0.000, 0.993, 0.926)

---

Density functional theory data (PBE) for a relaxed structure of Al4TlAs.

Computed properties:
- size of the total moment (μB/atom) = 0.000
- density of states at the Fermi level (states/eV/atom) = 0.714
- formation energy from the elements (eV per atom) = 0.28
- E (eV for the cell shown) = -20.336

a b c (Å): 5.550 5.550 5.550
angles (deg): 60.00 60.00 60.00
Fractional coordinates of all 6 atoms:
Al (0.872, 0.376, 0.376)
Al (0.376, 0.872, 0.376)
Al (0.376, 0.376, 0.872)
Al (0.376, 0.376, 0.376)
Tl (0.000, 0.000, 0.000)
As (0.750, 0.750, 0.750)

---

Density functional theory data (PBE) for a relaxed structure of AlTlAs2.

Computed properties:
- size of the total moment (μB/atom) = 0.000
- density of states at the Fermi level (states/eV/atom) = 0.517
- formation energy from the elements (eV per atom) = 0.32
- E (eV for the cell shown) = -14.118
- offset from the most stable computed form (meV/atom) = 498.7

a b c (Å): 4.961 4.961 4.961
angles (deg): 60.00 60.00 60.00
Fractional coordinates of all 4 atoms:
Al (0.000, 0.000, 0.000)
As (0.250, 0.250, 0.250)
Tl (0.500, 0.500, 0.500)
As (0.750, 0.750, 0.750)

---

Density functional theory data (PBE) for a relaxed structure of Al2TlAs.

Computed properties:
- size of the total moment (μB/atom) = 0.000
- density of states at the Fermi level (states/eV/atom) = 0.981
- formation energy from the elements (eV per atom) = 0.36
- E (eV for the cell shown) = -13.056
- offset from the most stable computed form (meV/atom) = 351.5

a b c (Å): 4.959 4.959 4.959
angles (deg): 60.00 60.00 60.00
Fractional coordinates of all 4 atoms:
Al (0.000, 0.000, 0.000)
Al (0.250, 0.250, 0.250)
Tl (0.750, 0.750, 0.750)
As (0.500, 0.500, 0.500)

---

Density functional theory data (PBE) for a relaxed structure of Al2TlAs2.

Computed properties:
- size of the total moment (μB/atom) = 0.000
- density of states at the Fermi level (states/eV/atom) = 0.445
- formation energy from the elements (eV per atom) = -0.05
- E (eV for the cell shown) = -19.390
- offset from the most stable computed form (meV/atom) = 119.1

a b c (Å): 4.784 4.784 5.999
angles (deg): 66.50 66.50 90.00
Fractional coordinates of all 5 atoms:
As (0.750, 0.250, 0.500)
Al (0.366, 0.366, 0.268)
Tl (0.000, 0.000, 0.000)
As (0.250, 0.750, 0.500)
Al (0.634, 0.634, 0.732)

---

Density functional theory data (PBE) for a relaxed structure of Al2TlAs.

Computed properties:
- size of the total moment (μB/atom) = 0.000
- density of states at the Fermi level (states/eV/atom) = 0.381
- formation energy from the elements (eV per atom) = 0.14
- E (eV for the cell shown) = -13.941
- offset from the most stable computed form (meV/atom) = 130.3

a b c (Å): 3.436 3.436 7.287
angles (deg): 90.00 90.00 90.00
Fractional coordinates of all 4 atoms:
Tl (0.500, 0.500, 0.750)
Al (0.000, 0.000, 0.056)
Al (0.000, 0.000, 0.444)
As (0.500, 0.500, 0.250)

---

Density functional theory data (PBE) for a relaxed structure of AlTlAs2.

Computed properties:
- size of the total moment (μB/atom) = 0.000
- density of states at the Fermi level (states/eV/atom) = 0.281
- formation energy from the elements (eV per atom) = 0.13
- E (eV for the cell shown) = -14.875
- offset from the most stable computed form (meV/atom) = 309.3

a b c (Å): 7.731 7.731 7.731
angles (deg): 28.25 28.25 28.25
Fractional coordinates of all 4 atoms:
As (0.263, 0.263, 0.263)
Al (0.735, 0.735, 0.735)
As (0.002, 0.002, 0.002)
Tl (0.500, 0.500, 0.500)

---

Density functional theory data (PBE) for a relaxed structure of Al2TlAs.

Computed properties:
- size of the total moment (μB/atom) = 0.000
- density of states at the Fermi level (states/eV/atom) = 0.404
- formation energy from the elements (eV per atom) = 0.10
- E (eV for the cell shown) = -14.102
- offset from the most stable computed form (meV/atom) = 90.0

a b c (Å): 7.270 7.270 7.270
angles (deg): 150.92 150.77 41.70
Fractional coordinates of all 4 atoms:
Al (0.009, 0.009, 0.000)
Tl (0.695, 0.195, 0.500)
As (0.468, 0.468, 0.000)
Al (0.328, 0.828, 0.500)

---

Density functional theory data (PBE) for a relaxed structure of AlTlAs2.

Computed properties:
- size of the total moment (μB/atom) = 0.000
- density of states at the Fermi level (states/eV/atom) = 0.709
- formation energy from the elements (eV per atom) = 0.28
- E (eV for the cell shown) = -14.275
- offset from the most stable computed form (meV/atom) = 459.3

a b c (Å): 2.997 5.051 5.703
angles (deg): 90.05 90.00 90.00
Fractional coordinates of all 4 atoms:
Tl (0.500, 0.500, 0.500)
As (0.000, 0.000, 0.000)
As (0.500, 0.500, 0.000)
Al (0.000, 0.000, 0.500)

---

Density functional theory data (PBE) for a relaxed structure of AlTlAs2.

Computed properties:
- size of the total moment (μB/atom) = 0.000
- density of states at the Fermi level (states/eV/atom) = 0.483
- formation energy from the elements (eV per atom) = 0.36
- E (eV for the cell shown) = -13.984
- offset from the most stable computed form (meV/atom) = 531.9

a b c (Å): 5.141 5.141 5.141
angles (deg): 125.38 125.38 80.91
Fractional coordinates of all 4 atoms:
As (0.000, 0.000, 0.000)
As (0.250, 0.750, 0.500)
Al (0.750, 0.250, 0.500)
Tl (0.500, 0.500, 0.000)

---

Density functional theory data (PBE) for a relaxed structure of AlTlAs.

Computed properties:
- size of the total moment (μB/atom) = 0.000
- density of states at the Fermi level (states/eV/atom) = 1.112
- formation energy from the elements (eV per atom) = 0.49
- E (eV for the cell shown) = -9.282
- offset from the most stable computed form (meV/atom) = 611.6

a b c (Å): 4.865 4.865 4.865
angles (deg): 60.00 60.00 60.00
Fractional coordinates of all 3 atoms:
As (0.500, 0.500, 0.500)
Tl (0.750, 0.750, 0.750)
Al (0.000, 0.000, 0.000)

---

Density functional theory data (PBE) for a relaxed structure of AlTlAs.

Computed properties:
- size of the total moment (μB/atom) = 0.000
- density of states at the Fermi level (states/eV/atom) = 0.337
- formation energy from the elements (eV per atom) = -0.12
- E (eV for the cell shown) = -22.234
- offset from the most stable computed form (meV/atom) = 0.0

a b c (Å): 4.155 4.155 8.625
angles (deg): 90.00 90.00 90.00
Fractional coordinates of all 6 atoms:
As (0.000, 0.500, 0.322)
Al (0.000, 0.000, 0.500)
Tl (0.500, 0.000, 0.104)
Tl (0.000, 0.500, 0.896)
Al (0.500, 0.500, 0.500)
As (0.500, 0.000, 0.678)